1.
Entry from Alexandria: an optimized crystal structure of CuWBr (PBE-GGA).

For the density of states at the Fermi level, the calculation gives 0.53 states/eV/atom. The formation energy (no corrections) comes out at 1631 meV/atom. Its energy relative to the lowest polymorph listed for this composition is 991 meV per atom.

The space group is F-43m (No. 216) and the conventional cell measures 5.9413, 5.9413 and 5.9413 Å, with angles of 90.00, 90.00 and 90.00 degrees. Symmetry generates all atoms from Cu at (0.0000, 0.0000, 0.0000), W at (0.0000, 0.0000, 0.5000) and Br at (0.2500, 0.2500, 0.7500).

2.
Entry from Alexandria: an optimized crystal structure of Cu3WBr (PBE-GGA).

For the density of states at the Fermi level, the calculation gives 1.16 states/eV/atom. The formation energy (no corrections) comes out at 1824 meV/atom. Its energy relative to the lowest polymorph listed for this composition is 269 meV per atom.

The space group is Pm-3m (No. 221) and the conventional cell measures 4.4789, 4.4789 and 4.4789 Å, with angles of 90.00, 90.00 and 90.00 degrees. Symmetry generates all atoms from Cu at (0.0000, 0.0000, 0.5000), W at (0.5000, 0.5000, 0.5000) and Br at (0.0000, 0.0000, 0.0000).

3.
Entry from Alexandria: an optimized crystal structure of CuW3Br (PBE-GGA).

For the density of states at the Fermi level, the calculation gives 0.55 states/eV/atom. The formation energy (no corrections) comes out at 2304 meV/atom. Its energy relative to the lowest polymorph listed for this composition is 0 meV per atom.

The space group is Pm-3m (No. 221) and the conventional cell measures 4.5755, 4.5755 and 4.5755 Å, with angles of 90.00, 90.00 and 90.00 degrees. Symmetry generates all atoms from Cu at (0.0000, 0.0000, 0.0000), W at (0.0000, 0.5000, 0.5000) and Br at (0.5000, 0.5000, 0.5000).

Repeat the first record exactly.
Entry from Alexandria: an optimized crystal structure of CuWBr (PBE-GGA).

For the density of states at the Fermi level, the calculation gives 0.53 states/eV/atom. The formation energy (no corrections) comes out at 1631 meV/atom. Its energy relative to the lowest polymorph listed for this composition is 991 meV per atom.

The space group is F-43m (No. 216) and the conventional cell measures 5.9413, 5.9413 and 5.9413 Å, with angles of 90.00, 90.00 and 90.00 degrees. Symmetry generates all atoms from Cu at (0.0000, 0.0000, 0.0000), W at (0.0000, 0.0000, 0.5000) and Br at (0.2500, 0.2500, 0.7500).

Which value of energy relative to the lowest polymorph listed for this composition does entry 1 give? 991 meV per atom

Which formula does entry 3 have? CuW3Br

Which formula does entry 1 have? CuWBr